(1)
A plane-wave DFT calculation with PBE was carried out for NaTa3Si after structural relaxation.

Total moment: 0.000 μB/f.u.
D(E_F): 0.003 states/eV/atom
ΔE_f (raw): 11.46 eV/f.u.

a b c (Å): 4.5971 4.5971 4.5971
angles (deg): 90.00 90.00 90.00
Sites, in units of the cell vectors:
Na 0.0000 0.0000 0.0000
Si 0.5000 0.5000 0.5000
Ta 0.0000 0.5000 0.0000
Ta 0.0000 0.0000 0.5000
Ta 0.5000 0.0000 0.0000

=====

(2)
A plane-wave DFT calculation with PBE was carried out for NaTaSi2 after structural relaxation.

Total moment: 0.000 μB/f.u.
D(E_F): 0.465 states/eV/atom
ΔE_f (raw): 2.52 eV/f.u.

a b c (Å): 4.9042 4.9042 9.1857
angles (deg): 74.52 74.52 90.00
Sites, in units of the cell vectors:
Na 0.5000 0.5000 0.0000
Na 0.2500 0.7500 0.5000
Si 0.7954 0.1250 0.2500
Si 0.9546 0.6250 0.2500
Si 0.3750 0.2046 0.7500
Si 0.8750 0.0454 0.7500
Ta 0.0000 0.0000 0.0000
Ta 0.7500 0.2500 0.5000

=====

(3)
A plane-wave DFT calculation with PBE was carried out for NaTa3Si after structural relaxation.

Total moment: 0.000 μB/f.u.
D(E_F): 0.205 states/eV/atom
ΔE_f (raw): 5.10 eV/f.u.

a b c (Å): 4.7506 4.7506 4.7506
angles (deg): 90.00 90.00 90.00
Sites, in units of the cell vectors:
Na 0.5000 0.5000 0.5000
Si 0.0000 0.0000 0.0000
Ta 0.0000 0.5000 0.0000
Ta 0.0000 0.0000 0.5000
Ta 0.5000 0.0000 0.0000

=====

(4)
A plane-wave DFT calculation with PBE was carried out for NaTaSi3 after structural relaxation.

Total moment: 0.000 μB/f.u.
D(E_F): 0.476 states/eV/atom
ΔE_f (raw): 1.70 eV/f.u.

a b c (Å): 4.9277 4.9277 4.9277
angles (deg): 90.00 90.00 90.00
Sites, in units of the cell vectors:
Na 0.5000 0.5000 0.5000
Si 0.0000 0.5000 0.0000
Si 0.0000 0.0000 0.5000
Si 0.5000 0.0000 0.0000
Ta 0.0000 0.0000 0.0000

=====

(5)
A plane-wave DFT calculation with PBE was carried out for NaTaSi3 after structural relaxation.

Total moment: 0.004 μB/f.u.
D(E_F): 1.136 states/eV/atom
ΔE_f (raw): 9.31 eV/f.u.

a b c (Å): 4.6172 4.6172 4.6172
angles (deg): 90.00 90.00 90.00
Sites, in units of the cell vectors:
Na 0.0000 0.0000 0.0000
Si 0.0000 0.5000 0.0000
Si 0.0000 0.0000 0.5000
Si 0.5000 0.0000 0.0000
Ta 0.5000 0.5000 0.5000

=====

(6)
A plane-wave DFT calculation with PBE was carried out for NaTaTlSi2 after structural relaxation.

Total moment: 0.003 μB/f.u.
D(E_F): 1.312 states/eV/atom
ΔE_f (raw): 8.82 eV/f.u.

a b c (Å): 4.7796 4.9699 4.7796
angles (deg): 90.00 90.00 90.00
Sites, in units of the cell vectors:
Na 0.0000 0.0000 0.0000
Tl 0.0000 0.5000 0.0000
Si 0.0000 0.0000 0.5000
Si 0.5000 0.0000 0.0000
Ta 0.5000 0.5000 0.5000

=====

(7)
A plane-wave DFT calculation with PBE was carried out for NaYTaSi2 after structural relaxation.

Total moment: 0.000 μB/f.u.
D(E_F): 0.639 states/eV/atom
ΔE_f (raw): 2.66 eV/f.u.

a b c (Å): 4.8571 5.0404 4.8571
angles (deg): 90.00 90.00 90.00
Sites, in units of the cell vectors:
Y 0.5000 0.5000 0.5000
Na 0.0000 0.5000 0.0000
Si 0.0000 0.0000 0.5000
Si 0.5000 0.0000 0.0000
Ta 0.0000 0.0000 0.0000

=====

(8)
A plane-wave DFT calculation with PBE was carried out for NaTaZnSi2 after structural relaxation.

Total moment: 0.935 μB/f.u.
D(E_F): 0.912 states/eV/atom
ΔE_f (raw): 5.79 eV/f.u.

a b c (Å): 4.6627 4.6627 4.9161
angles (deg): 90.00 90.00 90.00
Site moments in Bohr magnetons follow the coordinates.
Sites, in units of the cell vectors:
Na 0.5000 0.5000 0.5000  0.01
Zn 0.0000 0.0000 0.0000  0.00
Si 0.0000 0.5000 0.0000  -0.03
Si 0.5000 0.0000 0.0000  -0.03
Ta 0.0000 0.0000 0.5000  0.71

=====

(9)
A plane-wave DFT calculation with PBE was carried out for NaTbSi4 after structural relaxation.

Total moment: 0.000 μB/f.u.
D(E_F): 0.230 states/eV/atom
ΔE_f (raw): -1.15 eV/f.u.

a b c (Å): 5.3038 5.3038 5.3038
angles (deg): 60.00 60.00 60.00
Sites, in units of the cell vectors:
Na 0.0000 0.0000 0.0000
Si 0.6269 0.6269 0.1193
Si 0.6269 0.1193 0.6269
Si 0.6269 0.6269 0.6269
Si 0.1193 0.6269 0.6269
Tb 0.2500 0.2500 0.2500

=====

(10)
A plane-wave DFT calculation with PBE was carried out for NaSi2Tc after structural relaxation.

Total moment: 0.000 μB/f.u.
D(E_F): 0.849 states/eV/atom
ΔE_f (raw): 1.07 eV/f.u.

a b c (Å): 4.3588 4.3588 4.3588
angles (deg): 60.00 60.00 60.00
Sites, in units of the cell vectors:
Na 0.0000 0.0000 0.0000
Si 0.2500 0.2500 0.2500
Si 0.7500 0.7500 0.7500
Tc 0.5000 0.5000 0.5000

=====

(11)
A plane-wave DFT calculation with PBE was carried out for Na2SiTc after structural relaxation.

Total moment: 1.108 μB/f.u.
D(E_F): 0.784 states/eV/atom
ΔE_f (raw): 3.33 eV/f.u.

a b c (Å): 8.1577 8.1577 6.2679
angles (deg): 49.40 49.40 90.00
Site moments in Bohr magnetons follow the coordinates.
Sites, in units of the cell vectors:
Na 0.6055 0.1250 0.2500  -0.01
Na 0.1445 0.6250 0.2500  -0.01
Na 0.3750 0.3945 0.7500  -0.01
Na 0.8750 0.8555 0.7500  -0.01
Si 0.5000 0.5000 0.0000  -0.07
Si 0.2500 0.7500 0.5000  -0.07
Tc 0.0000 0.0000 0.0000  1.16
Tc 0.7500 0.2500 0.5000  1.16

=====

(12)
A plane-wave DFT calculation with PBE was carried out for Na2SiTc after structural relaxation.

Total moment: 3.111 μB/f.u.
D(E_F): 1.254 states/eV/atom
ΔE_f (raw): 4.36 eV/f.u.

a b c (Å): 4.8263 4.8263 4.8263
angles (deg): 60.00 60.00 60.00
Site moments in Bohr magnetons follow the coordinates.
Sites, in units of the cell vectors:
Na 0.2500 0.2500 0.2500  0.00
Na 0.7500 0.7500 0.7500  0.00
Si 0.0000 0.0000 0.0000  -0.05
Tc 0.5000 0.5000 0.5000  2.76

=====

(13)
A plane-wave DFT calculation with PBE was carried out for Na2Si2Tc after structural relaxation.

Total moment: 0.000 μB/f.u.
D(E_F): 0.438 states/eV/atom
ΔE_f (raw): 2.16 eV/f.u.

a b c (Å): 3.3665 3.3665 7.6290
angles (deg): 77.25 77.25 90.00
Sites, in units of the cell vectors:
Na 0.7500 0.2500 0.5000
Na 0.2500 0.7500 0.5000
Si 0.4142 0.4142 0.1717
Si 0.5858 0.5858 0.8283
Tc 0.0000 0.0000 0.0000

=====

(14)
A plane-wave DFT calculation with PBE was carried out for NaSiTc3 after structural relaxation.

Total moment: 5.700 μB/f.u.
D(E_F): 0.595 states/eV/atom
ΔE_f (raw): 12.50 eV/f.u.

a b c (Å): 4.4863 4.4863 4.4863
angles (deg): 90.00 90.00 90.00
Site moments in Bohr magnetons follow the coordinates.
Sites, in units of the cell vectors:
Na 0.0000 0.0000 0.0000  0.06
Si 0.5000 0.5000 0.5000  -0.06
Tc 0.0000 0.5000 0.0000  1.68
Tc 0.0000 0.0000 0.5000  1.89
Tc 0.5000 0.0000 0.0000  1.67

=====

(15)
A plane-wave DFT calculation with PBE was carried out for NaSiTc3 after structural relaxation.

Total moment: 0.000 μB/f.u.
D(E_F): 1.462 states/eV/atom
ΔE_f (raw): 5.32 eV/f.u.

a b c (Å): 4.5045 4.5045 4.5045
angles (deg): 90.00 90.00 90.00
Sites, in units of the cell vectors:
Na 0.5000 0.5000 0.5000
Si 0.0000 0.0000 0.0000
Tc 0.0000 0.5000 0.0000
Tc 0.0000 0.0000 0.5000
Tc 0.5000 0.0000 0.0000

=====

(16)
A plane-wave DFT calculation with PBE was carried out for NaSi2Tc after structural relaxation.

Total moment: 0.000 μB/f.u.
D(E_F): 0.204 states/eV/atom
ΔE_f (raw): 1.20 eV/f.u.

a b c (Å): 5.3319 5.3319 8.3331
angles (deg): 71.34 71.34 90.00
Sites, in units of the cell vectors:
Na 0.5000 0.5000 0.0000
Na 0.2500 0.7500 0.5000
Si 0.8745 0.1250 0.2500
Si 0.8755 0.6250 0.2500
Si 0.3750 0.1255 0.7500
Si 0.8750 0.1245 0.7500
Tc 0.0000 0.0000 0.0000
Tc 0.7500 0.2500 0.5000

=====

(17)
A plane-wave DFT calculation with PBE was carried out for Na2Si2Tc after structural relaxation.

Total moment: 0.587 μB/f.u.
D(E_F): 0.641 states/eV/atom
ΔE_f (raw): 1.31 eV/f.u.

a b c (Å): 6.2806 6.2806 5.0188
angles (deg): 90.00 90.00 90.00
Site moments in Bohr magnetons follow the coordinates.
Sites, in units of the cell vectors:
Na 0.1793 0.6793 0.5000  0.00
Na 0.6793 0.8207 0.5000  0.00
Na 0.8207 0.3207 0.5000  0.00
Na 0.3207 0.1793 0.5000  0.00
Si 0.3573 0.8573 0.0000  0.00
Si 0.8573 0.6427 0.0000  -0.01
Si 0.6427 0.1427 0.0000  0.00
Si 0.1427 0.3573 0.0000  -0.01
Tc 0.0000 0.0000 0.0000  0.47
Tc 0.5000 0.5000 0.0000  0.46

=====

(18)
A plane-wave DFT calculation with PBE was carried out for NaTlSi2Tc after structural relaxation.

Total moment: 3.834 μB/f.u.
D(E_F): 0.741 states/eV/atom
ΔE_f (raw): 8.48 eV/f.u.

a b c (Å): 5.1686 5.1737 5.1686
angles (deg): 90.00 90.00 90.00
Site moments in Bohr magnetons follow the coordinates.
Sites, in units of the cell vectors:
Na 0.0000 0.5000 0.0000  0.00
Tl 0.0000 0.0000 0.0000  0.03
Si 0.0000 0.0000 0.5000  -0.02
Si 0.5000 0.0000 0.0000  -0.06
Tc 0.5000 0.5000 0.5000  3.47

=====

(19)
A plane-wave DFT calculation with PBE was carried out for NaZrSi2Tc after structural relaxation.

Total moment: 0.000 μB/f.u.
D(E_F): 0.541 states/eV/atom
ΔE_f (raw): 1.54 eV/f.u.

a b c (Å): 4.7099 5.0558 4.7099
angles (deg): 90.00 90.00 90.00
Sites, in units of the cell vectors:
Na 0.5000 0.5000 0.5000
Si 0.0000 0.0000 0.5000
Si 0.5000 0.0000 0.0000
Tc 0.0000 0.0000 0.0000
Zr 0.0000 0.5000 0.0000

=====

(20)
A plane-wave DFT calculation with PBE was carried out for Na2SiTe after structural relaxation.

Total moment: 0.000 μB/f.u.
D(E_F): 0.652 states/eV/atom
ΔE_f (raw): 0.22 eV/f.u.

a b c (Å): 8.5014 8.5014 6.6947
angles (deg): 50.58 50.58 90.00
Sites, in units of the cell vectors:
Na 0.6167 0.1250 0.2500
Na 0.1333 0.6250 0.2500
Na 0.3750 0.3833 0.7500
Na 0.8750 0.8667 0.7500
Si 0.5000 0.5000 0.0000
Si 0.2500 0.7500 0.5000
Te 0.0000 0.0000 0.0000
Te 0.7500 0.2500 0.5000

=====

(21)
A plane-wave DFT calculation with PBE was carried out for Na4Si2Te5 after structural relaxation.

Total moment: 0.000 μB/f.u.
D(E_F): 0.000 states/eV/atom
ΔE_f (raw): -6.65 eV/f.u.

a b c (Å): 12.9167 14.2916 15.1561
angles (deg): 88.01 90.00 90.00
Sites, in units of the cell vectors:
Na 0.0893 0.7943 0.1382
Na 0.1220 0.0981 0.0476
Na 0.9107 0.2057 0.8618
Na 0.8780 0.9019 0.9524
Na 0.9074 0.5100 0.7251
Na 0.8813 0.0968 0.5652
Na 0.6365 0.5793 0.5775
Na 0.5893 0.2057 0.3618
Na 0.6351 0.3781 0.9644
Na 0.4074 0.4900 0.7749
Na 0.1365 0.4207 0.9225
Na 0.4107 0.7943 0.6382
Na 0.3649 0.6219 0.0356
Na 0.1187 0.9032 0.4348
Na 0.8649 0.3781 0.4644
Na 0.8453 0.9904 0.2296
Na 0.8557 0.7182 0.3506
Na 0.6187 0.0968 0.0652
Na 0.1443 0.2818 0.6494
Na 0.3813 0.9032 0.9348
Na 0.1547 0.0096 0.7704
Na 0.3635 0.4207 0.4225
Na 0.5926 0.5100 0.2251
Na 0.6547 0.9904 0.7296
Na 0.6220 0.9019 0.4524
Na 0.3557 0.2818 0.1494
Na 0.3780 0.0981 0.5476
Na 0.0926 0.4900 0.2749
Na 0.6443 0.7182 0.8506
Na 0.8635 0.5793 0.0775
Na 0.1351 0.6219 0.5356
Na 0.3453 0.0096 0.2704
Si 0.5913 0.2789 0.5928
Si 0.3399 0.2195 0.9125
Si 0.0580 0.1752 0.2907
Si 0.8066 0.3186 0.2149
Si 0.3066 0.6814 0.2851
Si 0.4087 0.7211 0.4072
Si 0.9087 0.2789 0.0928
Si 0.0913 0.7211 0.9072
Si 0.6601 0.7805 0.0875
Si 0.1601 0.2195 0.4125
Si 0.1934 0.6814 0.7851
Si 0.5580 0.8248 0.2093
Si 0.9420 0.8248 0.7093
Si 0.4420 0.1752 0.7907
Si 0.8399 0.7805 0.5875
Si 0.6934 0.3186 0.7149
Te 0.1302 0.0997 0.5358
Te 0.6210 0.2940 0.1706
Te 0.3698 0.0997 0.0358
Te 0.5962 0.9890 0.2518
Te 0.3641 0.8086 0.1670
Te 0.4079 0.2945 0.6618
Te 0.1210 0.7060 0.3294
Te 0.8402 0.4798 0.2681
Te 0.1598 0.5202 0.7319
Te 0.1297 0.8852 0.9518
Te 0.5921 0.7055 0.3382
Te 0.6302 0.9003 0.9642
Te 0.1161 0.3814 0.4624
Te 0.8698 0.9003 0.4642
Te 0.6579 0.7873 0.6497
Te 0.6359 0.1914 0.8330
Te 0.8850 0.3938 0.9667
Te 0.3839 0.3814 0.9624
Te 0.4038 0.0110 0.7482
Te 0.8421 0.7873 0.1497
Te 0.3850 0.6062 0.5333
Te 0.8839 0.6186 0.5376
Te 0.6150 0.3938 0.4667
Te 0.6598 0.4798 0.7681
Te 0.0921 0.2945 0.1618
Te 0.1359 0.8086 0.6670
Te 0.3790 0.7060 0.8294
Te 0.3703 0.8852 0.4518
Te 0.0962 0.0110 0.2482
Te 0.3421 0.2127 0.3503
Te 0.8703 0.1148 0.0482
Te 0.6297 0.1148 0.5482
Te 0.6161 0.6186 0.0376
Te 0.1150 0.6062 0.0333
Te 0.9038 0.9890 0.7518
Te 0.8641 0.1914 0.3330
Te 0.8790 0.2940 0.6706
Te 0.3402 0.5202 0.2319
Te 0.1579 0.2127 0.8503
Te 0.9079 0.7055 0.8382

=====

(22)
A plane-wave DFT calculation with PBE was carried out for NaSiTe3 after structural relaxation.

Total moment: 0.000 μB/f.u.
D(E_F): 0.730 states/eV/atom
ΔE_f (raw): 0.19 eV/f.u.

a b c (Å): 5.3720 5.3720 5.3720
angles (deg): 90.00 90.00 90.00
Sites, in units of the cell vectors:
Na 0.5000 0.5000 0.5000
Si 0.0000 0.0000 0.0000
Te 0.0000 0.5000 0.0000
Te 0.0000 0.0000 0.5000
Te 0.5000 0.0000 0.0000

=====

(23)
A plane-wave DFT calculation with PBE was carried out for NaSi2Te2 after structural relaxation.

Total moment: 0.000 μB/f.u.
D(E_F): 0.335 states/eV/atom
ΔE_f (raw): 0.12 eV/f.u.

a b c (Å): 3.5547 3.5547 9.7978
angles (deg): 79.55 79.55 90.00
Sites, in units of the cell vectors:
Na 0.0000 0.0000 0.0000
Si 0.7500 0.2500 0.5000
Si 0.2500 0.7500 0.5000
Te 0.3843 0.3843 0.2315
Te 0.6157 0.6157 0.7685